Material: CuSi2Mo
Method: DFT, PBEsol
State: relaxed

**Raw formation energy**: 1.40 eV per formula unit
**DFT total energy**: -26.20 eV/f.u.
**Crystal system**: cubic

a = 5.976 Å, b = 5.976 Å, c = 5.976 Å
α = 90.00°, β = 90.00°, γ = 90.00°
Space group F-43m (No. 216)
One atom of each set of equivalent atoms:
Cu  0.000  0.000  0.000 (multiplicity 4)
Si  0.000  0.000  0.500 (multiplicity 4)
Si  0.250  0.250  0.250 (multiplicity 4)
Mo  0.250  0.250  0.750 (multiplicity 4)

Material: CuSi2Mo
Method: DFT, PBEsol
State: relaxed

**Raw formation energy**: -0.02 eV per formula unit
**DFT total energy**: -27.61 eV/f.u.
**Crystal system**: monoclinic

a = 8.475 Å, b = 2.673 Å, c = 4.854 Å
α = 90.00°, β = 104.72°, γ = 90.00°
Space group C2/m (No. 12)
One atom of each set of equivalent atoms:
Cu  0.000  0.000  0.000 (multiplicity 2)
Si  0.244  0.500  0.255 (multiplicity 4)
Mo  0.000  0.500  0.500 (multiplicity 2)

Material: CuSi2Mo
Method: DFT, PBEsol
State: relaxed

**Raw formation energy**: 0.36 eV per formula unit
**DFT total energy**: -27.23 eV/f.u.
**Crystal system**: orthorhombic

a = 3.368 Å, b = 4.224 Å, c = 7.581 Å
α = 90.00°, β = 90.00°, γ = 90.00°
Space group Cmmm (No. 65)
One atom of each set of equivalent atoms:
Cu  0.000  0.000  0.000 (multiplicity 2)
Si  0.000  0.500  0.246 (multiplicity 4)
Mo  0.000  0.000  0.500 (multiplicity 2)

Material: CuSi2Mo
Method: DFT, PBEsol
State: relaxed

**Raw formation energy**: -0.56 eV per formula unit
**DFT total energy**: -28.16 eV/f.u.
**Crystal system**: orthorhombic

a = 3.431 Å, b = 3.983 Å, c = 7.564 Å
α = 90.00°, β = 90.00°, γ = 90.00°
Space group Immm (No. 71)
One atom of each set of equivalent atoms:
Cu  0.000  0.000  0.000 (multiplicity 2)
Si  0.000  0.500  0.257 (multiplicity 4)
Mo  0.000  0.000  0.500 (multiplicity 2)

Material: CuSi2Mo
Method: DFT, PBEsol
State: relaxed

**Raw formation energy**: -0.09 eV per formula unit
**DFT total energy**: -27.68 eV/f.u.
**Crystal system**: trigonal

a = 2.7909 Å, b = 2.7909 Å, c = 23.9119 Å
α = 90.00°, β = 90.00°, γ = 120.00°
Space group R-3m (No. 166, hexagonal axes)
One atom of each set of equivalent atoms:
Cu  0.0000  0.0000  0.0000 (multiplicity 3)
Si  0.0000  0.0000  0.2529 (multiplicity 6)
Mo  0.0000  0.0000  0.5000 (multiplicity 3)

Material: CuSiTe2Mo
Method: DFT, PBEsol
State: relaxed

**Raw formation energy**: 6.38 eV per formula unit
**DFT total energy**: -22.52 eV/f.u.
**Crystal system**: tetragonal

a = 5.142 Å, b = 5.142 Å, c = 4.597 Å
α = 90.00°, β = 90.00°, γ = 90.00°
Space group P4/mmm (No. 123)
One atom of each set of equivalent atoms:
Cu  0.000  0.000  0.000 (multiplicity 1)
Si  0.500  0.500  0.500 (multiplicity 1)
Te  0.000  0.500  0.500 (multiplicity 2)
Mo  0.500  0.500  0.000 (multiplicity 1)

Material: SrCuMo
Method: DFT, PBEsol
State: relaxed

**DFT total energy**: -14.05 eV/f.u.
**Crystal system**: cubic

a = 6.600 Å, b = 6.600 Å, c = 6.600 Å
α = 90.00°, β = 90.00°, γ = 90.00°
Space group F-43m (No. 216)
One atom of each set of equivalent atoms:
Sr  0.000  0.000  0.000 (multiplicity 4)
Cu  0.250  0.250  0.250 (multiplicity 4)
Mo  0.000  0.000  0.500 (multiplicity 4)

Material: SrCuMo3
Method: DFT, PBEsol
State: relaxed

**DFT total energy**: -33.04 eV/f.u.
**Crystal system**: cubic

a = 4.659 Å, b = 4.659 Å, c = 4.659 Å
α = 90.00°, β = 90.00°, γ = 90.00°
Space group Pm-3m (No. 221)
One atom of each set of equivalent atoms:
Sr  0.000  0.000  0.000 (multiplicity 1)
Cu  0.500  0.500  0.500 (multiplicity 1)
Mo  0.000  0.500  0.500 (multiplicity 3)

Material: TaCuMo
Method: DFT, PBEsol
State: relaxed

**Distance to the lowest polymorph of the same formula**: 0.000 eV per atom
**DFT total energy**: -28.17 eV/f.u.
**Crystal system**: tetragonal

a = 2.673 Å, b = 2.673 Å, c = 12.468 Å
α = 90.00°, β = 90.00°, γ = 90.00°
Space group I4mm (No. 107)
One atom of each set of equivalent atoms:
Ta  0.000  0.000  0.000 (multiplicity 2)
Cu  0.000  0.000  0.660 (multiplicity 2)
Mo  0.000  0.000  0.314 (multiplicity 2)

Material: TaCuMo
Method: DFT, PBEsol
State: relaxed

**Distance to the lowest polymorph of the same formula**: 1.034 eV per atom
**DFT total energy**: -25.07 eV/f.u.
**Crystal system**: cubic

a = 5.996 Å, b = 5.996 Å, c = 5.996 Å
α = 90.00°, β = 90.00°, γ = 90.00°
Space group F-43m (No. 216)
One atom of each set of equivalent atoms:
Ta  0.000  0.000  0.000 (multiplicity 4)
Cu  0.000  0.000  0.500 (multiplicity 4)
Mo  0.250  0.250  0.250 (multiplicity 4)

Material: Ta2CuMo
Method: DFT, PBEsol
State: relaxed

**Distance to the lowest polymorph of the same formula**: 0.105 eV per atom
**DFT total energy**: -40.84 eV/f.u.
**Crystal system**: tetragonal

a = 3.261 Å, b = 3.261 Å, c = 5.835 Å
α = 90.00°, β = 90.00°, γ = 90.00°
Space group P4mm (No. 99)
One atom of each set of equivalent atoms:
Ta  0.000  0.000  0.000 (multiplicity 1)
Ta  0.500  0.500  0.281 (multiplicity 1)
Cu  0.000  0.000  0.514 (multiplicity 1)
Mo  0.500  0.500  0.752 (multiplicity 1)

Material: Ta2CuMo
Method: DFT, PBEsol
State: relaxed

**Distance to the lowest polymorph of the same formula**: 0.000 eV per atom
**DFT total energy**: -41.26 eV/f.u.
**Crystal system**: tetragonal

a = 3.235 Å, b = 3.235 Å, c = 5.938 Å
α = 90.00°, β = 90.00°, γ = 90.00°
Space group P4/mmm (No. 123)
One atom of each set of equivalent atoms:
Ta  0.000  0.000  0.248 (multiplicity 2)
Cu  0.500  0.500  0.000 (multiplicity 1)
Mo  0.500  0.500  0.500 (multiplicity 1)

Material: CuTcMo
Method: DFT, PBEsol
State: relaxed

**Distance to the lowest polymorph of the same formula**: 0.632 eV per atom
**DFT total energy**: -24.74 eV/f.u.
**Crystal system**: cubic

a = 5.809 Å, b = 5.809 Å, c = 5.809 Å
α = 90.00°, β = 90.00°, γ = 90.00°
Space group F-43m (No. 216)
One atom of each set of equivalent atoms:
Cu  0.000  0.000  0.000 (multiplicity 4)
Tc  0.250  0.250  0.250 (multiplicity 4)
Mo  0.000  0.000  0.500 (multiplicity 4)

Material: CuTcMo
Method: DFT, PBEsol
State: relaxed

**Distance to the lowest polymorph of the same formula**: 0.000 eV per atom
**DFT total energy**: -26.64 eV/f.u.
**Crystal system**: orthorhombic

a = 3.113 Å, b = 4.162 Å, c = 12.753 Å
α = 90.00°, β = 90.00°, γ = 90.00°
Space group Fmm2 (No. 42)
One atom of each set of equivalent atoms:
Cu  0.000  0.000  0.000 (multiplicity 4)
Tc  0.000  0.000  0.664 (multiplicity 4)
Mo  0.000  0.000  0.334 (multiplicity 4)

Material: CuTcMo
Method: DFT, PBEsol
State: relaxed

**Distance to the lowest polymorph of the same formula**: 0.062 eV per atom
**DFT total energy**: -26.45 eV/f.u.
**Crystal system**: tetragonal

a = 2.588 Å, b = 2.588 Å, c = 12.232 Å
α = 90.00°, β = 90.00°, γ = 90.00°
Space group I4mm (No. 107)
One atom of each set of equivalent atoms:
Cu  0.000  0.000  0.000 (multiplicity 2)
Tc  0.000  0.000  0.342 (multiplicity 2)
Mo  0.000  0.000  0.664 (multiplicity 2)

Material: Cu2TeMo
Method: DFT, PBEsol
State: relaxed

**Raw formation energy**: 2.01 eV per formula unit
**DFT total energy**: -21.95 eV/f.u.
**Crystal system**: orthorhombic

a = 5.246 Å, b = 8.078 Å, c = 2.918 Å
α = 90.00°, β = 90.00°, γ = 90.00°
Space group Cmmm (No. 65)
One atom of each set of equivalent atoms:
Cu  0.250  0.250  0.000 (multiplicity 4)
Te  0.000  0.000  0.500 (multiplicity 2)
Mo  0.000  0.500  0.500 (multiplicity 2)

Material: Cu2TeMo
Method: DFT, PBEsol
State: relaxed

**Raw formation energy**: 1.81 eV per formula unit
**DFT total energy**: -22.15 eV/f.u.
**Crystal system**: orthorhombic

a = 2.858 Å, b = 4.278 Å, c = 5.100 Å
α = 90.00°, β = 90.00°, γ = 90.00°
Space group Pmm2 (No. 25)
One atom of each set of equivalent atoms:
Cu  0.000  0.000  0.000 (multiplicity 1)
Cu  0.000  0.500  0.211 (multiplicity 1)
Te  0.000  0.000  0.516 (multiplicity 1)
Mo  0.500  0.500  0.753 (multiplicity 1)

Material: TiCuMo3
Method: DFT, PBEsol
State: relaxed

**DFT total energy**: -40.29 eV/f.u.
**Crystal system**: cubic

a = 4.454 Å, b = 4.454 Å, c = 4.454 Å
α = 90.00°, β = 90.00°, γ = 90.00°
Space group Pm-3m (No. 221)
One atom of each set of equivalent atoms:
Ti  0.000  0.000  0.000 (multiplicity 1)
Cu  0.500  0.500  0.500 (multiplicity 1)
Mo  0.000  0.500  0.500 (multiplicity 3)

Material: TlCuMo2
Method: DFT, PBEsol
State: relaxed

**Distance to the lowest polymorph of the same formula**: 0.119 eV per atom
**DFT total energy**: -28.06 eV/f.u.
**Crystal system**: orthorhombic

a = 5.247 Å, b = 8.695 Å, c = 2.796 Å
α = 90.00°, β = 90.00°, γ = 90.00°
Space group Cmmm (No. 65)
One atom of each set of equivalent atoms:
Tl  0.000  0.000  0.000 (multiplicity 2)
Cu  0.000  0.500  0.000 (multiplicity 2)
Mo  0.250  0.250  0.500 (multiplicity 4)

Material: TlCuMo2
Method: DFT, PBEsol
State: relaxed

**Distance to the lowest polymorph of the same formula**: 0.000 eV per atom
**DFT total energy**: -28.53 eV/f.u.
**Crystal system**: tetragonal

a = 3.777 Å, b = 3.777 Å, c = 8.837 Å
α = 90.00°, β = 90.00°, γ = 90.00°
Space group I4/mmm (No. 139)
One atom of each set of equivalent atoms:
Tl  0.000  0.000  0.000 (multiplicity 2)
Cu  0.000  0.000  0.500 (multiplicity 2)
Mo  0.000  0.500  0.250 (multiplicity 4)

no.,volume (Å³/cell)
1,213.4
2,106.4
3,107.8
4,103.4
5,161.3
6,121.6
7,287.4
8,101.1
9,89.1
10,215.6
11,62.0
12,62.1
13,196.0
14,165.2
15,81.9
16,123.6
17,62.3
18,88.4
19,127.6
20,126.1